First-principles (PBE+U) data for an optimized crystal structure of PaVTcO6, as listed in Alexandria via LeMat-Bulk.

The space group is P-31c (No. 163) and the conventional cell measures 5.3599, 5.3599 and 8.8585 Å, with angles of 90.00, 90.00 and 120.00 degrees. Symmetry generates all atoms from Pa at (0.3333, 0.6667, 0.2500), V at (0.3333, 0.6667, 0.7500), Tc at (0.0000, 0.0000, 0.0000) and O at (0.0189, 0.3326, 0.6254).

The total magnetization comes out at 10.0 Bohr magnetons per cell. The electronic total energy comes out at -8.611 eV/atom.